# 1
## TiZnNiAg (PBE)

Data for a relaxed structure of TiZnNiAg.

* Fermi-level density of states: 3.8 states/eV per cell
* calculated volume: 14.71 Å³/atom
* total magnetization: 0.0 μB per formula unit
* space-group type: F-43m (216)
* theoretical density: 7.90 g cm⁻³
* formation enthalpy at 0 K: -0.099 eV per atom

a b c (Å): 4.365 4.365 4.365
angles (deg): 60.00 60.00 60.00
Atoms (fractional coordinates):
Ni 0.000 0.000 0.000
Ti 0.250 0.250 0.250
Zn 0.750 0.750 0.750
Ag 0.500 0.500 0.500

# 2
## Ta2IrRh2 (PBE)

Data for a relaxed structure of Ta2IrRh2.

* Fermi-level density of states: 3.4 states/eV per cell
* calculated volume: 17.27 Å³/atom
* total magnetization: 0.0 μB per formula unit
* space-group type: I4/mmm (139)
* energy relative to the lowest polymorph listed for this composition: 417 meV/atom
* theoretical density: 14.61 g cm⁻³
* formation enthalpy at 0 K: 0.067 eV per atom

a b c (Å): 3.613 3.613 7.093
angles (deg): 75.25 75.25 90.00
Atoms (fractional coordinates):
Ir 0.000 0.000 0.000
Rh 0.750 0.250 0.500
Rh 0.250 0.750 0.500
Ta 0.604 0.604 0.793
Ta 0.396 0.396 0.207